Al4TlRh | PBE | relaxed

```
Al4TlRh
1.0
0.000 3.766 3.766
3.766 0.000 3.766
3.766 3.766 0.000
Al Rh Tl
4 1 1
Cartesian
2.830 4.702 4.702
4.702 2.830 4.702
2.830 2.830 2.830
4.702 4.702 2.830
5.649 5.649 5.649
0.000 0.000 0.000
```

E_form: 15.3 kJ per mole of atoms
density of states at the Fermi level: 4.8 states/eV/cell
crystal system: cubic
raw total energy: -3.9563 eV/atom